No. 1
This record from the Alexandria database describes crystalline Ac2UAlN5 at its relaxed geometry. The functional is PBE.

Cell lengths 7.498, 7.498, 11.058 Å; angles 90.00, 90.00, 152.54 degrees
Fractional positions:
Ac 0.102 0.898 0.500
Ac 0.130 0.870 0.141
Ac 0.870 0.130 0.641
Ac 0.898 0.102 0.000
U 0.202 0.798 0.843
U 0.798 0.202 0.343
Al 0.451 0.549 0.258
Al 0.549 0.451 0.758
N 0.049 0.951 0.834
N 0.287 0.713 0.464
N 0.315 0.685 0.219
N 0.344 0.656 0.827
N 0.495 0.505 0.606
N 0.505 0.495 0.106
N 0.656 0.344 0.327
N 0.685 0.315 0.719
N 0.713 0.287 0.964
N 0.951 0.049 0.334

Output
- Formation energy without anion corrections: -1254.7 meV/atom
- ρ: 9.141 g/cm3
- Space group: Cmc2_1, No. 36
- Final energy: -0.3110 Ha/atom

=====

No. 2
This record from the Alexandria database describes crystalline NaAcAl4 at its relaxed geometry. The functional is PBE.

Cell lengths 5.796, 5.796, 5.796 Å; angles 60.00, 60.00, 60.00 degrees
Fractional positions:
Na 0.000 0.000 0.000
Ac 0.250 0.250 0.250
Al 0.126 0.625 0.625
Al 0.625 0.126 0.625
Al 0.625 0.625 0.126
Al 0.625 0.625 0.625

Output
- ρ: 4.316 g/cm3
- DFT formation energy: -0.996 eV/f.u.
- Space group: F-43m, No. 216
- Density of states at the Fermi level: 3.9 states/eV/f.u.
- Final energy: -0.1310 Ha/atom

=====

No. 3
This record from the Alexandria database describes crystalline Na2AcAl9 at its relaxed geometry. The functional is PBE.

Cell lengths 9.400, 9.400, 9.400 Å; angles 35.80, 35.80, 35.80 degrees
Fractional positions:
Na 0.144 0.144 0.144
Na 0.856 0.856 0.856
Ac 0.000 0.000 0.000
Al 0.075 0.586 0.586
Al 0.335 0.335 0.335
Al 0.414 0.414 0.925
Al 0.414 0.925 0.414
Al 0.500 0.500 0.500
Al 0.586 0.075 0.586
Al 0.586 0.586 0.075
Al 0.665 0.665 0.665
Al 0.925 0.414 0.414

Output
- ρ: 3.371 g/cm3
- DFT formation energy: -1.014 eV/f.u.
- Space group: R-3m, No. 166
- Density of states at the Fermi level: 7.8 states/eV/f.u.
- Final energy: -0.1269 Ha/atom

=====

No. 4
This record from the Alexandria database describes crystalline NaAc2Al9 at its relaxed geometry. The functional is PBE.

Cell lengths 9.520, 9.520, 9.520 Å; angles 36.23, 36.23, 36.23 degrees
Fractional positions:
Na 0.000 0.000 0.000
Ac 0.140 0.140 0.140
Ac 0.860 0.860 0.860
Al 0.071 0.586 0.586
Al 0.336 0.336 0.336
Al 0.414 0.414 0.929
Al 0.414 0.929 0.414
Al 0.500 0.500 0.500
Al 0.586 0.071 0.586
Al 0.586 0.586 0.071
Al 0.664 0.664 0.664
Al 0.929 0.414 0.414

Output
- ρ: 4.432 g/cm3
- DFT formation energy: -1.754 eV/f.u.
- Space group: R-3m, No. 166
- Density of states at the Fermi level: 5.7 states/eV/f.u.
- Final energy: -0.1377 Ha/atom

=====

No. 5
This record from the Alexandria database describes crystalline NaAc2Al at its relaxed geometry. The functional is PBE.

Cell lengths 3.972, 3.972, 9.053 Å; angles 90.00, 90.00, 90.00 degrees
Fractional positions:
Na 0.000 0.000 0.000
Ac 0.500 0.500 0.290
Ac 0.500 0.500 0.710
Al 0.000 0.000 0.500

Output
- ρ: 5.858 g/cm3
- DFT formation energy: -0.217 eV/f.u.
- Space group: P4/mmm, No. 123
- Density of states at the Fermi level: 2.8 states/eV/f.u.
- Final energy: -0.1240 Ha/atom

=====

No. 6
This record from the Alexandria database describes crystalline NaAc2Al at its relaxed geometry. The functional is PBE.

Cell lengths 11.579, 11.579, 11.579 Å; angles 19.86, 19.86, 19.86 degrees
Fractional positions:
Na 0.000 0.000 0.000
Ac 0.235 0.235 0.235
Ac 0.765 0.765 0.765
Al 0.500 0.500 0.500

Output
- ρ: 5.338 g/cm3
- DFT formation energy: 0.214 eV/f.u.
- Space group: R-3m, No. 166
- Density of states at the Fermi level: 3.6 states/eV/f.u.
- Final energy: -0.1200 Ha/atom